1.
## Tl2GeRu2 (PBE-GGA)

Data for a relaxed Tl2GeRu2 crystal.

Results
Calculated total energy ... -53.18 eV/cell

abc: 6.5276 6.5276 4.4188
angles: 90.00 90.00 90.00
Positions (direct):
1 Ru 0.3460 0.8460 0.0000
2 Ru 0.8460 0.6540 0.0000
3 Ru 0.6540 0.1540 0.0000
4 Ru 0.1540 0.3460 0.0000
5 Tl 0.1624 0.6624 0.5000
6 Tl 0.6624 0.8376 0.5000
7 Tl 0.8376 0.3376 0.5000
8 Tl 0.3376 0.1624 0.5000
9 Ge 0.0000 0.0000 0.0000
10 Ge 0.5000 0.5000 0.0000

***

2.
## Al2TcW (PBE-GGA)

Data for a relaxed Al2TcW crystal.

Results
Calculated total energy ... -30.64 eV/cell

abc: 2.7510 2.7510 8.8027
angles: 90.00 90.00 111.49
Positions (direct):
1 Tc 0.0000 0.0000 0.4995
2 W 0.5000 0.5000 0.7450
3 Al 0.0000 0.0000 0.9947
4 Al 0.5000 0.5000 0.2607

***

3.
## NaCd2C (PBE-GGA)

Data for a relaxed NaCd2C crystal.

Results
Calculated total energy ... -18.56 eV/cell

abc: 6.9665 6.9665 6.9884
angles: 60.10 60.10 90.00
Each line ends with the local moment (μB).
Positions (direct):
1 Na 0.0000 0.0000 0.0000  0.06
2 Na 0.7500 0.2500 0.5000  0.06
3 C 0.5000 0.5000 0.0000  0.07
4 C 0.2500 0.7500 0.5000  0.07
5 Cd 0.3744 0.1250 0.2500  0.03
6 Cd 0.3756 0.6250 0.2500  0.02
7 Cd 0.3750 0.6256 0.7500  0.02
8 Cd 0.8750 0.6244 0.7500  0.04

***

4.
## Pa2AlZn (PBE-GGA)

Data for a relaxed Pa2AlZn crystal.

Results
Calculated total energy ... -23.58 eV/cell

abc: 5.0115 5.0115 5.0115
angles: 60.00 60.00 60.00
Each line ends with the local moment (μB).
Positions (direct):
1 Zn 0.5000 0.5000 0.5000  0.00
2 Pa 0.2500 0.2500 0.2500  0.54
3 Pa 0.7500 0.7500 0.7500  0.54
4 Al 0.0000 0.0000 0.0000  0.00

***

5.
## CaRhW4 (PBE-GGA)

Data for a relaxed CaRhW4 crystal.

Results
Calculated total energy ... -58.03 eV/cell

abc: 5.3664 5.3664 5.3664
angles: 60.00 60.00 60.00
Positions (direct):
1 Ca 0.7500 0.7500 0.7500
2 Rh 0.0000 0.0000 0.0000
3 W 0.8711 0.3763 0.3763
4 W 0.3763 0.3763 0.8711
5 W 0.3763 0.8711 0.3763
6 W 0.3763 0.3763 0.3763

***

6.
## Ta2InHPd (PBE-GGA)

Data for a relaxed Ta2InHPd crystal.

Results
Calculated total energy ... -35.53 eV/cell

abc: 4.0204 4.0204 4.5746
angles: 90.00 90.00 90.00
Positions (direct):
1 H 0.0000 0.0000 0.0000
2 In 0.5000 0.5000 0.5000
3 Pd 0.0000 0.0000 0.5000
4 Ta 0.0000 0.5000 0.0000
5 Ta 0.5000 0.0000 0.0000

***

7.
## Ho4GaBi (PBE-GGA)

Data for a relaxed Ho4GaBi crystal.

Results
Calculated total energy ... -53.77 eV/cell

abc: 6.1718 7.4452 8.5483
angles: 102.31 111.16 90.00
Positions (direct):
1 Ho 0.5299 0.0585 0.8424
2 Ho 0.6875 0.4415 0.1576
3 Ho 0.4701 0.9415 0.1576
4 Ho 0.3125 0.5585 0.8424
5 Ho 0.9503 0.8714 0.6706
6 Ho 0.2797 0.6286 0.3294
7 Ho 0.0497 0.1286 0.3294
8 Ho 0.7203 0.3714 0.6706
9 Ga 0.5000 0.0000 0.5000
10 Ga 0.0000 0.5000 0.5000
11 Bi 0.8744 0.7500 0.0000
12 Bi 0.1256 0.2500 0.0000

***

8.
## Ba2ZrTaS6 (PBE-GGA)

Data for a relaxed Ba2ZrTaS6 crystal.

Results
Calculated total energy ... -130.42 eV/cell
Energy relative to the elements, uncorrected ... -16.2 eV/f.u.

abc: 7.0070 7.0070 12.3959
angles: 73.58 73.58 60.00
Positions (direct):
1 Ba 0.8730 0.8730 0.3810
2 Ba 0.1270 0.1270 0.6190
3 Ba 0.7060 0.7060 0.8820
4 Ba 0.2940 0.2940 0.1180
5 Zr 0.5837 0.5837 0.2488
6 Zr 0.4163 0.4163 0.7512
7 Ta 0.0000 0.0000 0.0000
8 Ta 0.5000 0.5000 0.5000
9 S 0.8785 0.3715 0.3786
10 S 0.3715 0.8785 0.3786
11 S 0.3715 0.3715 0.3786
12 S 0.1215 0.6285 0.6214
13 S 0.6285 0.1215 0.6214
14 S 0.6285 0.6285 0.6214
15 S 0.7128 0.2035 0.8802
16 S 0.2035 0.7128 0.8802
17 S 0.2035 0.2035 0.8802
18 S 0.2872 0.7965 0.1198
19 S 0.7965 0.2872 0.1198
20 S 0.7965 0.7965 0.1198

***

9.
## PaHgRh (PBE-GGA)

Data for a relaxed PaHgRh crystal.

Results
Calculated total energy ... -18.12 eV/cell

abc: 3.2752 3.2752 6.3500
angles: 104.94 104.94 90.00
Positions (direct):
1 Pa 0.6892 0.6892 0.3785
2 Rh 0.3246 0.3246 0.6493
3 Hg 0.9861 0.9861 0.9723

***

10.
## MgMnMo (PBE-GGA)

Data for a relaxed MgMnMo crystal.

Results
Calculated total energy ... -20.71 eV/cell

abc: 4.3757 4.3757 2.7197
angles: 90.00 90.00 120.00
Each line ends with the local moment (μB).
Positions (direct):
1 Mg 0.0000 0.0000 0.0201  -0.01
2 Mn 0.6667 0.3333 0.3730  1.94
3 Mo 0.3333 0.6667 0.6069  -0.55

***

11.
## Nb2FeS (PBE-GGA)

Data for a relaxed Nb2FeS crystal.

Results
Calculated total energy ... -31.72 eV/cell
Energy relative to the elements, uncorrected ... 1.0 eV/f.u.

abc: 2.9869 2.9869 8.6826
angles: 80.10 80.10 60.00
Each line ends with the local moment (μB).
Positions (direct):
1 S 0.5000 0.5000 0.5000  0.01
2 Nb 0.0918 0.0918 0.7245  -0.14
3 Nb 0.9082 0.9082 0.2755  -0.14
4 Fe 0.0000 0.0000 0.0000  1.66

***

12.
## Cs2WS (PBE-GGA)

Data for a relaxed Cs2WS crystal.

Results
Calculated total energy ... -13.92 eV/cell
Energy relative to the elements, uncorrected ... 4.9 eV/f.u.

abc: 6.0395 6.0395 6.0395
angles: 60.00 60.00 60.00
Each line ends with the local moment (μB).
Positions (direct):
1 Cs 0.2500 0.2500 0.2500  0.07
2 Cs 0.7500 0.7500 0.7500  0.07
3 S 0.0000 0.0000 0.0000  0.16
4 W 0.5000 0.5000 0.5000  3.75

***

13.
## LiFe3P (PBE-GGA)

Data for a relaxed LiFe3P crystal.

Results
Calculated total energy ... -31.38 eV/cell

abc: 4.2208 4.2208 4.2208
angles: 90.00 90.00 90.00
Each line ends with the local moment (μB).
Positions (direct):
1 P 0.0000 0.0000 0.0000  -0.08
2 Fe 0.0000 0.5000 0.0000  2.27
3 Fe 0.0000 0.0000 0.5000  2.22
4 Fe 0.5000 0.0000 0.0000  2.20
5 Li 0.5000 0.5000 0.5000  -0.04

***

14.
## RbAu2SeI (PBE-GGA)

Data for a relaxed RbAu2SeI crystal.

Results
Calculated total energy ... -11.88 eV/cell
Energy relative to the elements, uncorrected ... 0.7 eV/f.u.

abc: 5.4385 5.8728 5.4385
angles: 90.00 90.00 90.00
Positions (direct):
1 I 0.0000 0.0000 0.0000
2 Au 0.0000 0.0000 0.5000
3 Au 0.5000 0.0000 0.0000
4 Se 0.0000 0.5000 0.0000
5 Rb 0.5000 0.5000 0.5000

***

15.
## CeVNi4 (PBE-GGA)

Data for a relaxed CeVNi4 crystal.

Results
Calculated total energy ... -39.24 eV/cell

abc: 4.9211 4.9211 4.9211
angles: 60.00 60.00 60.00
Each line ends with the local moment (μB).
Positions (direct):
1 Ni 0.6234 0.6234 0.1297  0.05
2 Ni 0.6234 0.1297 0.6234  0.05
3 Ni 0.6234 0.6234 0.6234  0.05
4 Ni 0.1297 0.6234 0.6234  0.05
5 Ce 0.0000 0.0000 0.0000  0.44
6 V 0.2500 0.2500 0.2500  2.15

***

16.
## SmGdAgHg (PBE-GGA)

Data for a relaxed SmGdAgHg crystal.

Results
Calculated total energy ... -23.51 eV/cell

abc: 5.2771 5.2771 5.2771
angles: 60.00 60.00 60.00
Each line ends with the local moment (μB).
Positions (direct):
1 Ag 0.0000 0.0000 0.0000  0.00
2 Gd 0.7500 0.7500 0.7500  7.08
3 Hg 0.5000 0.5000 0.5000  0.00
4 Sm 0.2500 0.2500 0.2500  0.06

***

17.
## LaV2As (PBE-GGA)

Data for a relaxed LaV2As crystal.

Results
Calculated total energy ... -53.23 eV/cell

abc: 7.6827 7.6827 6.1478
angles: 51.33 51.33 90.00
Each line ends with the local moment (μB).
Positions (direct):
1 As 0.5000 0.5000 0.0000  -0.04
2 As 0.2500 0.7500 0.5000  -0.04
3 La 0.0000 0.0000 0.0000  0.01
4 La 0.7500 0.2500 0.5000  0.01
5 V 0.5491 0.1250 0.2500  0.64
6 V 0.2009 0.6250 0.2500  0.64
7 V 0.3750 0.4509 0.7500  0.64
8 V 0.8750 0.7991 0.7500  0.64

***

18.
## CuSb2IrI (PBE-GGA)

Data for a relaxed CuSb2IrI crystal.

Results
Calculated total energy ... -17.00 eV/cell
Energy relative to the elements, uncorrected ... 5.8 eV/f.u.

abc: 4.9139 4.9139 5.1735
angles: 90.00 90.00 90.00
Positions (direct):
1 I 0.0000 0.0000 0.5000
2 Sb 0.0000 0.5000 0.0000
3 Sb 0.5000 0.0000 0.0000
4 Ir 0.5000 0.5000 0.5000
5 Cu 0.0000 0.0000 0.0000

***

19.
## HoPd12Pb3 (PBE-GGA)

Data for a relaxed HoPd12Pb3 crystal.

Results
Calculated total energy ... -85.08 eV/cell

abc: 4.1119 4.1119 16.4361
angles: 90.00 90.00 90.00
Positions (direct):
1 Ho 0.0000 0.0000 0.0000
2 Pd 0.5000 0.5000 0.0000
3 Pd 0.5000 0.5000 0.2509
4 Pd 0.5000 0.5000 0.5000
5 Pd 0.5000 0.5000 0.7491
6 Pd 0.5000 0.0000 0.1251
7 Pd 0.5000 0.0000 0.3749
8 Pd 0.5000 0.0000 0.6251
9 Pd 0.5000 0.0000 0.8749
10 Pd 0.0000 0.5000 0.1251
11 Pd 0.0000 0.5000 0.3749
12 Pd 0.0000 0.5000 0.6251
13 Pd 0.0000 0.5000 0.8749
14 Pb 0.0000 0.0000 0.2499
15 Pb 0.0000 0.0000 0.5000
16 Pb 0.0000 0.0000 0.7501

***

20.
## Co3Ir (PBE-GGA)

Data for a relaxed Co3Ir crystal.

Results
Calculated total energy ... -29.95 eV/cell

abc: 2.6213 2.6213 8.1845
angles: 90.00 90.00 120.00
Each line ends with the local moment (μB).
Positions (direct):
1 Ir 0.3333 0.6667 0.7500  0.36
2 Co 0.0000 0.0000 0.0108  1.75
3 Co 0.0000 0.0000 0.4892  1.75
4 Co 0.3333 0.6667 0.2500  1.74